Here is a geometry-optimized Cs2MnGeO4 structure from Alexandria via LeMat-Bulk. Energies are from GGA+U.

It has space group Fddd (No. 70, origin choice 2), with a = 5.3832 Å, b = 12.6198 Å, c = 22.1340 Å, α = 90.00°, β = 90.00° and γ = 90.00°. The distinct sites, in fractional coordinates, are Cs at (0.1250, 0.1250, 0.2998), Mn at (0.1250, 0.1250, 0.1250), Ge at (0.1250, 0.1250, 0.6250) and O at (0.0884, 0.2939, 0.8327).

The value obtained for the volume is 1503.7 Å³ per cell. Its total energy is -5.82 eV/atom.